[1]
The following is a GGA-PBE calculation of crystalline Ba2Hg2Br at its relaxed geometry, from Alexandria via LeMat-Bulk.

Unit cell a=4.4396 b=4.4396 c=19.2864 alpha=90.00 beta=90.00 gamma=90.00
Sites, in units of the cell vectors:
Ba 0.0000 0.0000 0.1130
Ba 0.0000 0.0000 0.8870
Ba 0.5000 0.5000 0.3870
Ba 0.5000 0.5000 0.6130
Hg 0.0000 0.5000 0.2500
Hg 0.0000 0.5000 0.7500
Hg 0.5000 0.0000 0.2500
Hg 0.5000 0.0000 0.7500
Br 0.0000 0.0000 0.5000
Br 0.5000 0.5000 0.0000

Computed properties:
**Formation energy from raw total energies**: -3.8 eV/f.u.
**Excess energy over the best structure of this formula in the dataset**: 50 kJ/mol of formula units
**Density of states at the Fermi level**: 0.93 states/eV/atom
**SG**: I4/mmm


[2]
The following is a GGA-PBE calculation of crystalline MnGa3Ni4 at its relaxed geometry, from Alexandria via LeMat-Bulk.

Unit cell a=7.1492 b=7.1492 c=7.1492 alpha=33.44 beta=33.44 gamma=33.44
Sites, in units of the cell vectors:
Mn 0.0000 0.0000 0.0000
Ga 0.2544 0.2544 0.2544
Ga 0.5000 0.5000 0.5000
Ga 0.7456 0.7456 0.7456
Ni 0.1272 0.1272 0.1272
Ni 0.3776 0.3776 0.3776
Ni 0.6224 0.6224 0.6224
Ni 0.8728 0.8728 0.8728

Computed properties:
**Density of states at the Fermi level**: 0.53 states/eV/atom
**SG**: R-3m
**Formation energy**: -2.6 eV per formula unit


[3]
The following is a GGA-PBE calculation of crystalline KBC at its relaxed geometry, from Alexandria via LeMat-Bulk.

Unit cell a=14.6399 b=4.9900 c=3.1343 alpha=90.00 beta=98.91 gamma=90.00
Sites, in units of the cell vectors:
K 0.0000 0.0000 0.0000
K 0.2369 0.5000 0.1785
K 0.5000 0.5000 0.0000
K 0.7369 0.0000 0.1785
B 0.1812 0.0000 0.6412
B 0.3675 0.0000 0.5276
B 0.6812 0.5000 0.6412
B 0.8675 0.5000 0.5276
C 0.2789 0.0000 0.7488
C 0.3703 0.0000 0.0379
C 0.7789 0.5000 0.7488
C 0.8703 0.5000 0.0379

Computed properties:
**Density of states at the Fermi level**: 0.00 states/eV/atom
**SG**: Cm
**Formation energy**: 1.7 eV per formula unit


[4]
The following is a GGA-PBE calculation of crystalline Pr3Er4Hg at its relaxed geometry, from Alexandria via LeMat-Bulk.

Unit cell a=3.6209 b=3.6209 c=19.0863 alpha=90.00 beta=90.00 gamma=90.00
Sites, in units of the cell vectors:
Pr 0.0000 0.0000 0.0000
Pr 0.0000 0.0000 0.2657
Pr 0.0000 0.0000 0.7343
Er 0.5000 0.5000 0.1328
Er 0.5000 0.5000 0.3987
Er 0.5000 0.5000 0.6013
Er 0.5000 0.5000 0.8672
Hg 0.0000 0.0000 0.5000

Computed properties:
**Density of states at the Fermi level**: 1.20 states/eV/atom
**SG**: P4/mmm
**Formation energy**: -0.9 eV per formula unit


[5]
The following is a GGA-PBE calculation of crystalline LiCeGdLu at its relaxed geometry, from Alexandria via LeMat-Bulk.

Unit cell a=7.7022 b=7.7022 c=7.7022 alpha=90.00 beta=90.00 gamma=90.00
Sites, in units of the cell vectors:
Li 0.0000 0.0000 0.0000
Li 0.0000 0.5000 0.5000
Li 0.5000 0.0000 0.5000
Li 0.5000 0.5000 0.0000
Ce 0.2500 0.2500 0.2500
Ce 0.2500 0.7500 0.7500
Ce 0.7500 0.2500 0.7500
Ce 0.7500 0.7500 0.2500
Gd 0.2500 0.2500 0.7500
Gd 0.2500 0.7500 0.2500
Gd 0.7500 0.2500 0.2500
Gd 0.7500 0.7500 0.7500
Lu 0.0000 0.0000 0.5000
Lu 0.0000 0.5000 0.0000
Lu 0.5000 0.0000 0.0000
Lu 0.5000 0.5000 0.5000

Computed properties:
**Density of states at the Fermi level**: 2.14 states/eV/atom
**SG**: F-43m
**Formation energy**: 0.9 eV per formula unit


[6]
The following is a GGA-PBE calculation of crystalline Rb3In3Au2 at its relaxed geometry, from Alexandria via LeMat-Bulk.

Unit cell a=9.4295 b=17.0980 c=6.9794 alpha=90.00 beta=90.00 gamma=90.00
Sites, in units of the cell vectors:
Rb 0.0361 0.1119 0.1024
Rb 0.0361 0.3881 0.1024
Rb 0.2071 0.2500 0.5708
Rb 0.2929 0.7500 0.0708
Rb 0.4639 0.6119 0.6024
Rb 0.4639 0.8881 0.6024
Rb 0.5361 0.1119 0.3976
Rb 0.5361 0.3881 0.3976
Rb 0.7071 0.2500 0.9292
Rb 0.7929 0.7500 0.4292
Rb 0.9639 0.6119 0.8976
Rb 0.9639 0.8881 0.8976
In 0.1556 0.7500 0.5431
In 0.1665 0.0350 0.6149
In 0.1665 0.4650 0.6149
In 0.3335 0.5350 0.1149
In 0.3335 0.9650 0.1149
In 0.3444 0.2500 0.0431
In 0.6556 0.7500 0.9569
In 0.6665 0.0350 0.8851
In 0.6665 0.4650 0.8851
In 0.8335 0.5350 0.3851
In 0.8335 0.9650 0.3851
In 0.8444 0.2500 0.4569
Au 0.1177 0.6003 0.3772
Au 0.1177 0.8997 0.3772
Au 0.3823 0.1003 0.8772
Au 0.3823 0.3997 0.8772
Au 0.6177 0.6003 0.1228
Au 0.6177 0.8997 0.1228
Au 0.8823 0.1003 0.6228
Au 0.8823 0.3997 0.6228

Computed properties:
**Excess energy over the best structure of this formula in the dataset**: 39 kJ/mol of formula units
**Density of states at the Fermi level**: 0.62 states/eV/atom
**SG**: Pnma
**Formation energy**: -1.2 eV per formula unit


[7]
The following is a GGA-PBE calculation of crystalline Os4PbAu at its relaxed geometry, from Alexandria via LeMat-Bulk.

Unit cell a=5.3092 b=5.3092 c=5.3092 alpha=60.00 beta=60.00 gamma=60.00
Sites, in units of the cell vectors:
Os 0.3755 0.3755 0.3755
Os 0.3755 0.3755 0.8734
Os 0.3755 0.8734 0.3755
Os 0.8734 0.3755 0.3755
Pb 0.0000 0.0000 0.0000
Au 0.7500 0.7500 0.7500

Computed properties:
**Density of states at the Fermi level**: 1.64 states/eV/atom
**SG**: F-43m
**Formation energy**: 6.3 eV per formula unit


[8]
The following is a GGA-PBE calculation of crystalline ErPuZr at its relaxed geometry, from Alexandria via LeMat-Bulk.

Unit cell a=3.3308 b=3.3308 c=14.2335 alpha=90.00 beta=90.00 gamma=90.00
Sites, in units of the cell vectors:
Er 0.0000 0.0000 0.0000
Er 0.5000 0.5000 0.5000
Pu 0.0000 0.0000 0.6800
Pu 0.5000 0.5000 0.1800
Zr 0.0000 0.0000 0.3345
Zr 0.5000 0.5000 0.8345

Computed properties:
**Excess energy over the best structure of this formula in the dataset**: 0 kJ/mol of formula units
**Density of states at the Fermi level**: 2.23 states/eV/atom
**SG**: I4mm
**Formation energy**: 0.4 eV per formula unit


[9]
The following is a GGA-PBE calculation of crystalline Tb2SO2 at its relaxed geometry, from Alexandria via LeMat-Bulk.

Unit cell a=3.8326 b=3.8326 c=6.6459 alpha=90.00 beta=90.00 gamma=120.00
Sites, in units of the cell vectors:
Tb 0.3333 0.6667 0.2821
Tb 0.6667 0.3333 0.7179
S 0.0000 0.0000 0.0000
O 0.3333 0.6667 0.6294
O 0.6667 0.3333 0.3706

Computed properties:
**Formation energy from raw total energies**: -16.0 eV/f.u.
**Density of states at the Fermi level**: 0.00 states/eV/atom
**SG**: P-3m1


[10]
The following is a GGA-PBE calculation of crystalline LiSi2O4 at its relaxed geometry, from Alexandria via LeMat-Bulk.

Unit cell a=4.1752 b=4.1752 c=4.8310 alpha=90.00 beta=90.00 gamma=90.00
Sites, in units of the cell vectors:
Li 0.0000 0.0000 0.0000
Si 0.0000 0.5000 0.5000
Si 0.5000 0.0000 0.5000
O 0.2464 0.2464 0.3165
O 0.2464 0.7536 0.6835
O 0.7536 0.2464 0.6835
O 0.7536 0.7536 0.3165

Computed properties:
**Formation energy from raw total energies**: -14.7 eV/f.u.
**Excess energy over the best structure of this formula in the dataset**: 6 kJ/mol of formula units
**Density of states at the Fermi level**: 0.22 states/eV/atom
**SG**: P-42m


[11]
The following is a GGA-PBE calculation of crystalline Ce2PuZnN5 at its relaxed geometry, from Alexandria via LeMat-Bulk.

Unit cell a=6.9498 b=6.9498 c=10.4579 alpha=90.00 beta=90.00 gamma=151.29
Sites, in units of the cell vectors:
Ce 0.1113 0.8887 0.5000
Ce 0.1330 0.8670 0.1017
Ce 0.8670 0.1330 0.6017
Ce 0.8887 0.1113 0.0000
Pu 0.2040 0.7960 0.8141
Pu 0.7960 0.2040 0.3141
Zn 0.4855 0.5145 0.2733
Zn 0.5145 0.4855 0.7733
N 0.0543 0.9457 0.8572
N 0.2818 0.7182 0.4570
N 0.3004 0.6996 0.1720
N 0.3555 0.6445 0.8136
N 0.4919 0.5081 0.5816
N 0.5081 0.4919 0.0816
N 0.6445 0.3555 0.3136
N 0.6996 0.3004 0.6720
N 0.7182 0.2818 0.9570
N 0.9457 0.0543 0.3572

Computed properties:
**Formation energy from raw total energies**: -8.5 eV/f.u.
**Density of states at the Fermi level**: 0.58 states/eV/atom
**SG**: Cmc2_1


[12]
The following is a GGA-PBE calculation of crystalline TaCr4Cl at its relaxed geometry, from Alexandria via LeMat-Bulk.

Unit cell a=4.8906 b=4.8906 c=4.8906 alpha=60.00 beta=60.00 gamma=60.00
Sites, in units of the cell vectors:
Ta 0.0000 0.0000 0.0000
Cr 0.1268 0.6244 0.6244
Cr 0.6244 0.1268 0.6244
Cr 0.6244 0.6244 0.1268
Cr 0.6244 0.6244 0.6244
Cl 0.2500 0.2500 0.2500

Computed properties:
**Formation energy from raw total energies**: 4.0 eV/f.u.
**Density of states at the Fermi level**: 0.96 states/eV/atom
**SG**: F-43m